Entry 1:
Mg5Al2Cd4 | Alexandria | PBE | optimized geometry; space group = Pbam (55); E = -1.768 eV/atom; calculated density = 4.409 g/cm³
1.0
-2.738 0.771 1.354
0.429 -6.963 4.836
8.662 9.102 12.334
Mg Al Cd
10 4 8
direct
0.000 0.500 0.000
0.000 0.000 0.500
0.000 0.296 0.215
0.000 0.704 0.785
0.000 0.796 0.285
0.000 0.204 0.715
0.000 0.370 0.428
0.000 0.630 0.572
0.000 0.870 0.072
0.000 0.130 0.928
0.500 0.506 0.307
0.500 0.494 0.693
0.500 0.006 0.193
0.500 0.994 0.807
0.500 0.284 0.567
0.500 0.716 0.433
0.500 0.784 0.933
0.500 0.216 0.067
0.500 0.404 0.852
0.500 0.596 0.148
0.500 0.904 0.648
0.500 0.096 0.352

Entry 2:
Mg2AlCd | Alexandria | PBE | optimized geometry; offset from the most stable computed form = 34 meV per atom; space group = Cm (8); E = -1.970 eV/atom; calculated density = 3.725 g/cm³
1.0
3.155 -0.011 -0.021
1.568 2.738 -0.021
1.541 0.890 9.668
Mg Al Cd
2 1 1
direct
0.086 0.086 0.740
0.247 0.247 0.260
0.500 0.500 0.500
0.667 0.667 0.000

Entry 3:
Mg9AlCd2 | Alexandria | PBE | optimized geometry; space group = P4/mmm (123); E = -1.704 eV/atom; calculated density = 3.001 g/cm³
1.0
4.406 0.000 0.000
0.000 4.406 0.000
0.000 0.000 13.414
Mg Al Cd
9 1 2
direct
0.500 0.500 0.000
0.500 0.500 0.331
0.500 0.500 0.669
0.500 0.000 0.162
0.500 0.000 0.500
0.500 0.000 0.838
0.000 0.500 0.162
0.000 0.500 0.500
0.000 0.500 0.838
0.000 0.000 0.000
0.000 0.000 0.331
0.000 0.000 0.669

Entry 4:
Mg16Al12Cd | Alexandria | PBE | optimized geometry; offset from the most stable computed form = 0 meV per atom; space group = Cm (8); E = -2.492 eV/atom; calculated density = 2.348 g/cm³
1.0
9.098 -0.005 0.009
-2.994 8.591 0.009
3.020 4.248 7.476
Mg Al Cd
16 12 1
direct
0.000 0.000 0.657
0.688 0.688 0.711
0.000 0.000 0.000
0.653 0.653 0.337
0.320 0.599 0.001
0.401 0.715 0.600
0.997 0.314 0.399
0.999 0.346 0.003
0.288 0.681 0.316
0.601 0.001 0.683
0.001 0.601 0.683
0.681 0.288 0.316
0.346 0.999 0.003
0.314 0.997 0.399
0.715 0.401 0.600
0.599 0.320 0.001
0.367 0.367 0.821
0.182 0.182 0.181
0.638 0.820 0.995
0.814 0.000 0.365
0.180 0.366 0.639
0.819 0.189 0.813
0.633 0.002 0.183
0.002 0.633 0.183
0.189 0.819 0.813
0.366 0.180 0.639
0.000 0.814 0.365
0.820 0.638 0.995
0.385 0.385 0.296

Question: What is the calculated density in the third record?
Answer: 3.001 g/cm³

Question: The lowest calculated density belongs to which entry?
Answer: Mg16Al12Cd

Question: Which of these has the lowest calculated density?
Answer: Mg16Al12Cd

Copy entry 2 word for word.
Mg2AlCd | Alexandria | PBE | optimized geometry; offset from the most stable computed form = 34 meV per atom; space group = Cm (8); E = -1.970 eV/atom; calculated density = 3.725 g/cm³
1.0
3.155 -0.011 -0.021
1.568 2.738 -0.021
1.541 0.890 9.668
Mg Al Cd
2 1 1
direct
0.086 0.086 0.740
0.247 0.247 0.260
0.500 0.500 0.500
0.667 0.667 0.000